# Mg4AgHg3, relaxed, DFT PBE-GGA
# - N(E_F): 0.35 states/eV/atom
# - Calculated volume: 491.3 Å³/cell
# - Total moment: 0.000 μB/atom
# - Energy relative to the elements: -171 kJ/mol of formula units
data_Mg4AgHg3
_chemical_formula_sum 'Mg12 Ag3 Hg9'
_symmetry_space_group_name_H-M 'R -3 m'
_symmetry_Int_Tables_number 166
_symmetry_space_group_name_Hall '-R 3 2"'
_cell_length_a 4.8737
_cell_length_b 4.8737
_cell_length_c 23.8844
_cell_angle_alpha 90.00
_cell_angle_beta 90.00
_cell_angle_gamma 120.00
loop_
_atom_site_label
_atom_site_fract_x
_atom_site_fract_y
_atom_site_fract_z
Mg1 0.0000 0.0000 0.1238
Mg2 0.0000 0.0000 0.3747
Ag1 0.0000 0.0000 0.0000
Hg1 0.0000 0.0000 0.2537
Hg2 0.0000 0.0000 0.5000

---

# CdHgO2, relaxed, DFT PBE-GGA
# - N(E_F): 0.15 states/eV/atom
# - Calculated volume: 210.7 Å³/cell
# - Total moment: 0.000 μB/atom
# - Excess energy over the best structure of this formula in the dataset: 366 meV per atom
data_CdHgO2
_chemical_formula_sum 'Cd3 Hg3 O6'
_symmetry_space_group_name_H-M 'R -3 m'
_symmetry_Int_Tables_number 166
_symmetry_space_group_name_Hall '-R 3 2"'
_cell_length_a 3.5584
_cell_length_b 3.5584
_cell_length_c 19.2109
_cell_angle_alpha 90.00
_cell_angle_beta 90.00
_cell_angle_gamma 120.00
loop_
_atom_site_label
_atom_site_fract_x
_atom_site_fract_y
_atom_site_fract_z
Cd1 0.0000 0.0000 0.0000
Hg1 0.0000 0.0000 0.5000
O1 0.0000 0.0000 0.1041

---

# Ti3SiTe, relaxed, DFT PBE-GGA
# - N(E_F): 1.65 states/eV/atom
# - Calculated volume: 102.6 Å³/cell
# - Total moment: 0.465 μB/atom
# - Excess energy over the best structure of this formula in the dataset: 0 meV per atom
data_Ti3SiTe
_chemical_formula_sum 'Ti3 Si1 Te1'
_symmetry_space_group_name_H-M 'P m -3 m'
_symmetry_Int_Tables_number 221
_symmetry_space_group_name_Hall '-P 4 2 3'
_cell_length_a 4.682
_cell_length_b 4.682
_cell_length_c 4.682
_cell_angle_alpha 90.00
_cell_angle_beta 90.00
_cell_angle_gamma 90.00
loop_
_atom_site_label
_atom_site_fract_x
_atom_site_fract_y
_atom_site_fract_z
Ti1 0.000 0.000 0.500
Si1 0.000 0.000 0.000
Te1 0.500 0.500 0.500

---

# KRb2Np2O7, relaxed, DFT PBE-GGA
# - N(E_F): 0.43 states/eV/atom
# - Electronic total energy: -94.2 eV/f.u.
# - Calculated volume: 425.6 Å³/cell
# - Total moment: 0.250 μB/atom
data_KRb2Np2O7
_chemical_formula_sum 'K2 Rb4 Np4 O14'
_symmetry_space_group_name_H-M 'I 4/m m m'
_symmetry_Int_Tables_number 139
_symmetry_space_group_name_Hall '-I 4 2'
_cell_length_a 4.319
_cell_length_b 4.319
_cell_length_c 22.822
_cell_angle_alpha 90.00
_cell_angle_beta 90.00
_cell_angle_gamma 90.00
loop_
_atom_site_label
_atom_site_fract_x
_atom_site_fract_y
_atom_site_fract_z
K1 0.000 0.000 0.000
Rb1 0.000 0.000 0.190
Np1 0.000 0.000 0.407
O1 0.000 0.000 0.321
O2 0.000 0.000 0.500
O3 0.000 0.500 0.092

---

# Pu3MgBr8, relaxed, DFT PBE-GGA
# - N(E_F): 4.27 states/eV/atom
# - Electronic total energy: -74.3 eV/f.u.
# - Calculated volume: 875.8 Å³/cell
# - Total moment: 0.498 μB/atom
data_Pu3MgBr8
_chemical_formula_sum 'Pu6 Mg2 Br16'
_symmetry_space_group_name_H-M 'C 2 2 2'
_symmetry_Int_Tables_number 21
_symmetry_space_group_name_Hall 'C 2 2'
_cell_length_a 8.346
_cell_length_b 12.407
_cell_length_c 8.459
_cell_angle_alpha 90.00
_cell_angle_beta 90.00
_cell_angle_gamma 90.00
loop_
_atom_site_label
_atom_site_fract_x
_atom_site_fract_y
_atom_site_fract_z
Pu1 0.000 0.000 0.000
Pu2 0.250 0.250 0.750
Mg1 0.000 0.000 0.500
Br1 0.000 0.217 0.500
Br2 0.000 0.243 0.000
Br3 0.233 0.008 0.728

---

# HfNiSbTe2, relaxed, DFT PBE-GGA
# - N(E_F): 0.70 states/eV/atom
# - Calculated volume: 124.2 Å³/cell
# - Total moment: 0.000 μB/atom
# - Excess energy over the best structure of this formula in the dataset: 0 meV per atom
data_HfNiSbTe2
_chemical_formula_sum 'Hf1 Ni1 Sb1 Te2'
_symmetry_space_group_name_H-M 'P 4/m m m'
_symmetry_Int_Tables_number 123
_symmetry_space_group_name_Hall '-P 4 2'
_cell_length_a 5.073
_cell_length_b 5.073
_cell_length_c 4.826
_cell_angle_alpha 90.00
_cell_angle_beta 90.00
_cell_angle_gamma 90.00
loop_
_atom_site_label
_atom_site_fract_x
_atom_site_fract_y
_atom_site_fract_z
Hf1 0.000 0.000 0.000
Ni1 0.500 0.500 0.500
Sb1 0.500 0.500 0.000
Te1 0.000 0.500 0.500

---

# BaTc2Ag, relaxed, DFT PBE-GGA
# - N(E_F): 1.09 states/eV/atom
# - Calculated volume: 327.9 Å³/cell
# - Total moment: 0.000 μB/atom
# - Energy relative to the elements: 422 kJ/mol of formula units
# - Excess energy over the best structure of this formula in the dataset: 664 meV per atom
data_BaTc2Ag
_chemical_formula_sum 'Ba4 Tc8 Ag4'
_symmetry_space_group_name_H-M 'F -4 3 m'
_symmetry_Int_Tables_number 216
_symmetry_space_group_name_Hall 'F -4 2 3'
_cell_length_a 6.896
_cell_length_b 6.896
_cell_length_c 6.896
_cell_angle_alpha 90.00
_cell_angle_beta 90.00
_cell_angle_gamma 90.00
loop_
_atom_site_label
_atom_site_fract_x
_atom_site_fract_y
_atom_site_fract_z
Ba1 0.000 0.000 0.000
Tc1 0.000 0.000 0.500
Tc2 0.250 0.250 0.250
Ag1 0.250 0.250 0.750

---

# YCuGe, relaxed, DFT PBE-GGA
# - N(E_F): 0.39 states/eV/atom
# - Calculated volume: 58.1 Å³/cell
# - Total moment: 0.000 μB/atom
# - Energy relative to the elements: -191 kJ/mol of formula units
data_YCuGe
_chemical_formula_sum 'Y1 Cu1 Ge1'
_symmetry_space_group_name_H-M 'P -6 m 2'
_symmetry_Int_Tables_number 187
_symmetry_space_group_name_Hall 'P -6 2'
_cell_length_a 4.2149
_cell_length_b 4.2149
_cell_length_c 3.7754
_cell_angle_alpha 90.00
_cell_angle_beta 90.00
_cell_angle_gamma 120.00
loop_
_atom_site_label
_atom_site_fract_x
_atom_site_fract_y
_atom_site_fract_z
Y1 0.0000 0.0000 0.0000
Cu1 0.3333 0.6667 0.5000
Ge1 0.6667 0.3333 0.5000

---

# ZnNiSCl2, relaxed, DFT PBE-GGA
# - N(E_F): 0.77 states/eV/atom
# - Calculated volume: 96.3 Å³/cell
# - Total moment: 0.000 μB/atom
# - Excess energy over the best structure of this formula in the dataset: 0 meV per atom
data_ZnNiSCl2
_chemical_formula_sum 'Zn1 Ni1 S1 Cl2'
_symmetry_space_group_name_H-M 'P 4/m m m'
_symmetry_Int_Tables_number 123
_symmetry_space_group_name_Hall '-P 4 2'
_cell_length_a 4.493
_cell_length_b 4.493
_cell_length_c 4.768
_cell_angle_alpha 90.00
_cell_angle_beta 90.00
_cell_angle_gamma 90.00
loop_
_atom_site_label
_atom_site_fract_x
_atom_site_fract_y
_atom_site_fract_z
Zn1 0.000 0.000 0.000
Ni1 0.500 0.500 0.500
S1 0.500 0.500 0.000
Cl1 0.000 0.500 0.500